Record 1
# KBa2Ta PBE relaxed
# Size of the total moment: 3.4 μB/cell
# Relative energy among the computed polymorphs: 0.2699 eV per atom
# Final energy: -3.107 eV/atom
# ΔE_f: 4.37 eV per formula unit
data_KBa2Ta
_cell_length_a 3.6562
_cell_length_b 3.6562
_cell_length_c 41.0895
_cell_angle_alpha 90.00
_cell_angle_beta 90.00
_cell_angle_gamma 120.00
_space_group_name_H-M_alt 'R 3 m'
_space_group_IT_number 160
_space_group_name_Hall 'R 3 -2"'
loop_
_atom_site_label
_atom_site_fract_x
_atom_site_fract_y
_atom_site_fract_z
_atom_site_occupancy
K1 0.0000 0.0000 0.0000 1
Ba1 0.0000 0.0000 0.5281 1
Ba2 0.0000 0.0000 0.7661 1
Ta1 0.0000 0.0000 0.2594 1

***

Record 2
# LaP2BrCl PBE relaxed
# Size of the total moment: 0.0 μB/cell
# Relative energy among the computed polymorphs: 0.0640 eV per atom
# Energy relative to the elements, uncorrected: 0.120 eV per atom
# Final energy: -3.733 eV/atom
data_LaP2BrCl
_cell_length_a 4.8551
_cell_length_b 4.8551
_cell_length_c 5.7617
_cell_angle_alpha 90.00
_cell_angle_beta 90.00
_cell_angle_gamma 90.00
_space_group_name_H-M_alt 'P 4/m m m'
_space_group_IT_number 123
_space_group_name_Hall '-P 4 2'
loop_
_atom_site_label
_atom_site_fract_x
_atom_site_fract_y
_atom_site_fract_z
_atom_site_occupancy
La1 0.0000 0.0000 0.0000 1
P1 0.0000 0.5000 0.5000 1
Br1 0.0000 0.0000 0.5000 1
Cl1 0.5000 0.5000 0.0000 1

***

Record 3
# Nb2ZnAs2 PBE relaxed
# Size of the total moment: 0.0 μB/cell
# Relative energy among the computed polymorphs: 0.1368 eV per atom
# Final energy: -6.368 eV/atom
# ΔE_f: -1.13 eV per formula unit
data_Nb2ZnAs2
_cell_length_a 7.2081
_cell_length_b 7.2081
_cell_length_c 3.3239
_cell_angle_alpha 90.00
_cell_angle_beta 90.00
_cell_angle_gamma 90.00
_space_group_name_H-M_alt 'P 4/m b m'
_space_group_IT_number 127
_space_group_name_Hall '-P 4 2ab'
loop_
_atom_site_label
_atom_site_fract_x
_atom_site_fract_y
_atom_site_fract_z
_atom_site_occupancy
Nb1 0.1509 0.3491 0.0000 1
Zn1 0.0000 0.0000 0.5000 1
As1 0.1443 0.6443 0.5000 1

***

Record 4
# Y3CdO PBE relaxed
# Size of the total moment: 3.4 μB/cell
# Relative energy among the computed polymorphs: 0.2543 eV per atom
# Energy relative to the elements, uncorrected: -1.083 eV per atom
# Final energy: -6.136 eV/atom
data_Y3CdO
_cell_length_a 6.8011
_cell_length_b 6.8011
_cell_length_c 17.1887
_cell_angle_alpha 90.00
_cell_angle_beta 90.00
_cell_angle_gamma 120.00
_space_group_name_H-M_alt 'R -3'
_space_group_IT_number 148
_space_group_name_Hall '-R 3'
loop_
_atom_site_label
_atom_site_fract_x
_atom_site_fract_y
_atom_site_fract_z
_atom_site_occupancy
Y1 0.0012 0.5710 0.0849 1
Cd1 0.0000 0.0000 0.0908 1
O1 0.0000 0.0000 0.3328 1

***

Record 5
# NbReSn2P PBE relaxed
# Size of the total moment: 3.6 μB/cell
# Final energy: -6.206 eV/atom
# ΔE_f: 4.90 eV per formula unit
data_NbReSn2P
_cell_length_a 5.2805
_cell_length_b 5.2805
_cell_length_c 4.4367
_cell_angle_alpha 90.00
_cell_angle_beta 90.00
_cell_angle_gamma 90.00
_space_group_name_H-M_alt 'P 4/m m m'
_space_group_IT_number 123
_space_group_name_Hall '-P 4 2'
loop_
_atom_site_label
_atom_site_fract_x
_atom_site_fract_y
_atom_site_fract_z
_atom_site_occupancy
Nb1 0.0000 0.0000 0.0000 1
Re1 0.5000 0.5000 0.5000 1
Sn1 0.0000 0.5000 0.5000 1
P1 0.5000 0.5000 0.0000 1

***

Record 6
# KIn2Te2 PBE relaxed
# Size of the total moment: 0.0 μB/cell
# Relative energy among the computed polymorphs: 0.0810 eV per atom
# Energy relative to the elements, uncorrected: -0.399 eV per atom
# Final energy: -2.971 eV/atom
data_KIn2Te2
_cell_length_a 9.0447
_cell_length_b 9.0447
_cell_length_c 4.1288
_cell_angle_alpha 90.00
_cell_angle_beta 90.00
_cell_angle_gamma 90.00
_space_group_name_H-M_alt 'P 4/m b m'
_space_group_IT_number 127
_space_group_name_Hall '-P 4 2ab'
loop_
_atom_site_label
_atom_site_fract_x
_atom_site_fract_y
_atom_site_fract_z
_atom_site_occupancy
K1 0.0000 0.0000 0.0000 1
In1 0.1150 0.3850 0.0000 1
Te1 0.2144 0.7144 0.5000 1

***

Record 7
# KSb2Au5 PBE relaxed
# Size of the total moment: 0.0 μB/cell
# Energy relative to the elements, uncorrected: -0.150 eV per atom
# Final energy: -3.367 eV/atom
data_KSb2Au5
_cell_length_a 4.7110
_cell_length_b 7.5059
_cell_length_c 10.9526
_cell_angle_alpha 90.00
_cell_angle_beta 90.00
_cell_angle_gamma 90.00
_space_group_name_H-M_alt 'I m m m'
_space_group_IT_number 71
_space_group_name_Hall '-I 2 2'
loop_
_atom_site_label
_atom_site_fract_x
_atom_site_fract_y
_atom_site_fract_z
_atom_site_occupancy
K1 0.0000 0.0000 0.0000 1
Sb1 0.0000 0.5000 0.2494 1
Au1 0.0000 0.1857 0.3688 1
Au2 0.0000 0.5000 0.0000 1

***

Record 8
# CsKSnI4 PBE relaxed
# Size of the total moment: 0.0 μB/cell
# Energy relative to the elements, uncorrected: -1.056 eV per atom
# Final energy: -2.792 eV/atom
data_CsKSnI4
_cell_length_a 6.2281
_cell_length_b 6.2281
_cell_length_c 18.7811
_cell_angle_alpha 90.00
_cell_angle_beta 90.00
_cell_angle_gamma 90.00
_space_group_name_H-M_alt 'I 4 m m'
_space_group_IT_number 107
_space_group_name_Hall 'I 4 -2'
loop_
_atom_site_label
_atom_site_fract_x
_atom_site_fract_y
_atom_site_fract_z
_atom_site_occupancy
Cs1 0.0000 0.0000 0.0000 1
K1 0.0000 0.0000 0.7248 1
Sn1 0.0000 0.0000 0.3630 1
I1 0.0000 0.0000 0.1980 1
I2 0.0000 0.0000 0.5363 1
I3 0.0000 0.5000 0.3563 1

***

Record 9
# SrMg2Pb PBE relaxed
# Size of the total moment: 0.0 μB/cell
# Final energy: -2.121 eV/atom
# ΔE_f: 0.09 eV per formula unit
data_SrMg2Pb
_cell_length_a 4.8206
_cell_length_b 4.8206
_cell_length_c 22.5793
_cell_angle_alpha 90.00
_cell_angle_beta 90.00
_cell_angle_gamma 90.00
_space_group_name_H-M_alt 'I -4 2 d'
_space_group_IT_number 122
_space_group_name_Hall 'I -4 2bw'
loop_
_atom_site_label
_atom_site_fract_x
_atom_site_fract_y
_atom_site_fract_z
_atom_site_occupancy
Sr1 0.0000 0.0000 0.0000 1
Mg1 0.2001 0.2500 0.6250 1
Pb1 0.0000 0.0000 0.5000 1

***

Record 10
# CeZnPd3 PBE relaxed
# Size of the total moment: 1.6 μB/cell
# Final energy: -5.132 eV/atom
# ΔE_f: -2.87 eV per formula unit
data_CeZnPd3
_cell_length_a 4.1359
_cell_length_b 4.1359
_cell_length_c 11.3184
_cell_angle_alpha 90.00
_cell_angle_beta 90.00
_cell_angle_gamma 90.00
_space_group_name_H-M_alt 'I 4 m m'
_space_group_IT_number 107
_space_group_name_Hall 'I 4 -2'
loop_
_atom_site_label
_atom_site_fract_x
_atom_site_fract_y
_atom_site_fract_z
_atom_site_occupancy
Ce1 0.0000 0.0000 0.0000 1
Zn1 0.0000 0.0000 0.6583 1
Pd1 0.0000 0.0000 0.4438 1
Pd2 0.0000 0.5000 0.2864 1

***

Record 11
# Gd3Cr5Se12 PBE relaxed
# Size of the total moment: 290.9 μB/cell
# Energy relative to the elements, uncorrected: -0.892 eV per atom
# Final energy: -7.501 eV/atom
data_Gd3Cr5Se12
_cell_length_a 15.7145
_cell_length_b 15.7145
_cell_length_c 15.7145
_cell_angle_alpha 90.00
_cell_angle_beta 90.00
_cell_angle_gamma 90.00
_space_group_name_H-M_alt 'I a -3 d'
_space_group_IT_number 230
_space_group_name_Hall '-I 4bd 2c 3'
loop_
_atom_site_label
_atom_site_fract_x
_atom_site_fract_y
_atom_site_fract_z
_atom_site_occupancy
Gd1 0.0000 0.2500 0.1250 1
Cr1 0.0000 0.0000 0.0000 1
Cr2 0.0000 0.2500 0.3750 1
Se1 0.0277 0.0592 0.6490 1

***

Record 12
# SrScHg2 PBE relaxed
# Size of the total moment: 0.0 μB/cell
# Final energy: -2.145 eV/atom
# ΔE_f: 0.04 eV per formula unit
data_SrScHg2
_cell_length_a 5.2815
_cell_length_b 5.2815
_cell_length_c 19.2892
_cell_angle_alpha 90.00
_cell_angle_beta 90.00
_cell_angle_gamma 90.00
_space_group_name_H-M_alt 'I -4 2 d'
_space_group_IT_number 122
_space_group_name_Hall 'I -4 2bw'
loop_
_atom_site_label
_atom_site_fract_x
_atom_site_fract_y
_atom_site_fract_z
_atom_site_occupancy
Sr1 0.0000 0.0000 0.0000 1
Sc1 0.0000 0.0000 0.5000 1
Hg1 0.1748 0.2500 0.6250 1